Here is a relaxed structure of K3YHf from the Alexandria database. Energies are from GGA-PBE.

CIF file:
```
data_K3YHf
_symmetry_space_group_name_H-M 'P m -3 m'
_symmetry_Int_Tables_number 221
_symmetry_space_group_name_Hall '-P 4 2 3'
_cell_length_a 6.736
_cell_length_b 6.736
_cell_length_c 6.736
_cell_angle_alpha 90.00
_cell_angle_beta 90.00
_cell_angle_gamma 90.00
loop_
_atom_site_label
_atom_site_type_symbol
_atom_site_fract_x
_atom_site_fract_y
_atom_site_fract_z
K1 K 0.000 0.000 0.500
Y1 Y 0.000 0.000 0.000
Hf1 Hf 0.500 0.500 0.500
```

The value obtained for the volume is 305.6 Å³ per cell. For the total moment, the calculation gives 5.999 μB/f.u. The electronic total energy is -2.1455 eV/atom.